No. 1
# PrTmCu4 | the Alexandria database | PBE-GGA | relaxed
# Total moment: 0.0 μB per cell
# ΔE_f: -0.231 eV per atom
# Relative energy among the computed polymorphs: 0.0 kJ/mol of atoms
data_PrTmCu4
_chemical_formula_sum 'Pr2 Tm2 Cu8'
_cell_length_a 4.314
_cell_length_b 6.961
_cell_length_c 7.403
_cell_angle_alpha 90.00
_cell_angle_beta 90.00
_cell_angle_gamma 90.00
_symmetry_space_group_name_H-M 'I m m 2'
_symmetry_Int_Tables_number 44
_symmetry_space_group_name_Hall 'I 2 -2'
loop_
_atom_site_label
_atom_site_fract_x
_atom_site_fract_y
_atom_site_fract_z
Pr1 0.000 0.000 0.000
Tm1 0.000 0.500 0.917
Cu1 0.000 0.194 0.617
Cu2 0.000 0.297 0.288


No. 2
# Rb4Np3BiS8 | the Alexandria database | PBE-GGA | relaxed
# Total moment: 36.0 μB per cell
# ΔE_f (raw): -1.2086 eV per atom
data_Rb4Np3BiS8
_chemical_formula_sum 'Rb12 Np9 Bi3 S24'
_cell_length_a 8.3060
_cell_length_b 8.3060
_cell_length_c 23.0311
_cell_angle_alpha 90.00
_cell_angle_beta 90.00
_cell_angle_gamma 120.00
_symmetry_space_group_name_H-M 'R -3 m'
_symmetry_Int_Tables_number 166
_symmetry_space_group_name_Hall '-R 3 2"'
loop_
_atom_site_label
_atom_site_fract_x
_atom_site_fract_y
_atom_site_fract_z
Rb1 0.0000 0.0000 0.0000
Rb2 0.0000 0.5000 0.0000
Np1 0.0000 0.5000 0.5000
Bi1 0.0000 0.0000 0.5000
S1 0.0000 0.0000 0.2295
S2 0.0081 0.5040 0.7684